DFT (PBEsol) results for a geometry-optimized SbPb2 structure.

Cell lengths 3.247, 5.568, 5.568 Å; angles 120.00, 90.00, 90.00 degrees
Fractional coordinates of all 3 atoms:
1 Pb 0.795 0.333 0.667
2 Pb 0.205 0.667 0.333
3 Sb 0.000 0.000 0.000

Properties
N(E_F) = 0.390 states/eV/atom
Energy above the lowest structure with this stoichiometry = 0.57 kcal/mol of atoms
Final energy = -4.14 eV/atom

---

DFT (PBEsol) results for a geometry-optimized SbPb2 structure.

Cell lengths 6.223, 6.223, 6.223 Å; angles 105.65, 105.65, 117.42 degrees
Fractional coordinates of all 6 atoms:
1 Pb 0.347 0.847 0.195
2 Pb 0.653 0.153 0.805
3 Pb 0.847 0.653 0.500
4 Pb 0.153 0.347 0.500
5 Sb 0.250 0.250 0.000
6 Sb 0.750 0.750 0.000

Properties
N(E_F) = 0.489 states/eV/atom
Energy above the lowest structure with this stoichiometry = 1.36 kcal/mol of atoms
Final energy = -4.11 eV/atom

---

DFT (PBEsol) results for a geometry-optimized SbPb structure.

Cell lengths 4.286, 4.286, 7.734 Å; angles 90.00, 90.00, 120.00 degrees
Fractional coordinates of all 4 atoms:
1 Pb 0.000 0.000 0.000
2 Pb 0.000 0.000 0.500
3 Sb 0.667 0.333 0.750
4 Sb 0.333 0.667 0.250

Properties
N(E_F) = 0.594 states/eV/atom
Final energy = -4.18 eV/atom

---

DFT (PBEsol) results for a geometry-optimized SbPb2 structure.

Cell lengths 3.916, 3.916, 6.273 Å; angles 108.19, 108.19, 90.00 degrees
Fractional coordinates of all 3 atoms:
1 Pb 0.654 0.654 0.308
2 Pb 0.346 0.346 0.692
3 Sb 0.000 0.000 0.000

Properties
N(E_F) = 0.429 states/eV/atom
Energy above the lowest structure with this stoichiometry = 0.28 kcal/mol of atoms
Final energy = -4.15 eV/atom

---

DFT (PBEsol) results for a geometry-optimized SbPb4 structure.

Cell lengths 3.443, 3.443, 14.304 Å; angles 83.09, 83.09, 60.00 degrees
Fractional coordinates of all 5 atoms:
1 Pb 0.602 0.602 0.194
2 Pb 0.200 0.200 0.400
3 Pb 0.800 0.800 0.600
4 Pb 0.398 0.398 0.806
5 Sb 0.000 0.000 0.000

Properties
N(E_F) = 0.584 states/eV/atom
Energy above the lowest structure with this stoichiometry = 0.38 kcal/mol of atoms
Final energy = -4.06 eV/atom

---

DFT (PBEsol) results for a geometry-optimized Sb3Pb structure.

Cell lengths 6.057, 6.057, 6.057 Å; angles 90.00, 90.00, 90.00 degrees
Fractional coordinates of all 8 atoms:
1 Pb 0.000 0.000 0.000
2 Pb 0.500 0.500 0.500
3 Sb 0.750 0.500 0.000
4 Sb 0.250 0.500 0.000
5 Sb 0.000 0.750 0.500
6 Sb 0.000 0.250 0.500
7 Sb 0.500 0.000 0.250
8 Sb 0.500 0.000 0.750

Properties
N(E_F) = 0.654 states/eV/atom
Energy above the lowest structure with this stoichiometry = 1.57 kcal/mol of atoms
Final energy = -4.17 eV/atom

---

DFT (PBEsol) results for a geometry-optimized Sb4Pb5 structure.

Cell lengths 6.574, 9.526, 9.526 Å; angles 120.00, 90.00, 90.00 degrees
Fractional coordinates of all 18 atoms:
1 Pb 0.750 0.000 0.701
2 Pb 0.750 0.701 0.000
3 Pb 0.750 0.299 0.299
4 Pb 0.250 0.000 0.299
5 Pb 0.250 0.299 0.000
6 Pb 0.250 0.701 0.701
7 Pb 0.000 0.333 0.667
8 Pb 0.500 0.667 0.333
9 Pb 0.000 0.667 0.333
10 Pb 0.500 0.333 0.667
11 Sb 0.000 0.000 0.000
12 Sb 0.500 0.000 0.000
13 Sb 0.750 0.000 0.367
14 Sb 0.750 0.367 0.000
15 Sb 0.750 0.633 0.633
16 Sb 0.250 0.000 0.633
17 Sb 0.250 0.633 0.000
18 Sb 0.250 0.367 0.367

Properties
N(E_F) = 0.631 states/eV/atom
Final energy = -4.17 eV/atom

---

DFT (PBEsol) results for a geometry-optimized SbPb structure.

Cell lengths 4.600, 4.600, 6.296 Å; angles 111.43, 111.43, 90.00 degrees
Fractional coordinates of all 4 atoms:
1 Pb 0.250 0.750 0.500
2 Pb 0.000 0.000 0.000
3 Sb 0.750 0.250 0.500
4 Sb 0.500 0.500 0.000

Properties
N(E_F) = 0.609 states/eV/atom
Final energy = -4.17 eV/atom

---

- What is the formula in the second record?
  SbPb2